(1)
Below is crystalline Tc5Ag4 at its relaxed geometry, with properties calculated at the GGA-PBE level.

POSCAR file:
```
Tc5Ag4
1.0
-4.239 4.239 1.988
4.239 -4.239 1.988
4.239 4.239 -1.988
Tc Ag
5 4
direct
0.000 0.000 0.000
0.348 0.348 0.697
0.348 0.652 0.000
0.652 0.348 0.000
0.652 0.652 0.303
0.000 0.330 0.330
0.000 0.670 0.670
0.330 0.000 0.330
0.670 0.000 0.670
```

Results
- E_tot: -0.242 hartree per atom
- Total moment: 0.00 μB/cell
- Calculated formation energy: 0.45 eV/atom
- Mass density: 10.7 g/cm3
- Calculated volume: 15.9 Å³/atom
- SG: I4/mmm, No. 139

***

(2)
Below is crystalline PuHgAu at its relaxed geometry, with properties calculated at the GGA-PBE level.

POSCAR file:
```
PuHgAu
1.0
-4.855 0.262 -0.415
-2.168 -1.323 -4.167
-2.658 -4.089 -0.176
Au Hg Pu
1 1 1
direct
0.250 0.250 0.250
0.500 0.500 0.500
0.000 0.000 0.000
```

Results
- E_tot: -0.227 hartree per atom
- Total moment: 5.81 μB/cell
- Calculated formation energy: -0.20 eV/atom
- Mass density: 13.0 g/cm3
- Calculated volume: 27.4 Å³/atom
- Distance to the lowest polymorph of the same formula: 145 meV per atom
- SG: F-43m, No. 216

***

(3)
Below is crystalline PrSm2Zn2Hg2 at its relaxed geometry, with properties calculated at the GGA-PBE level.

POSCAR file:
```
PrSm2Zn2Hg2
1.0
4.781 0.000 0.000
2.391 4.141 0.000
2.391 1.380 9.110
Pr Sm Zn Hg
1 2 2 2
direct
0.000 0.000 0.000
0.126 0.126 0.621
0.874 0.874 0.379
0.744 0.744 0.767
0.256 0.256 0.233
0.598 0.598 0.205
0.402 0.402 0.795
```

Results
- E_tot: -0.102 hartree per atom
- Total moment: 0.00 μB/cell
- Calculated formation energy: -0.30 eV/atom
- Mass density: 9.0 g/cm3
- Calculated volume: 25.8 Å³/atom
- SG: R-3m, No. 166

***

(4)
Below is crystalline LiCaTc2 at its relaxed geometry, with properties calculated at the GGA-PBE level.

POSCAR file:
```
LiCaTc2
1.0
-0.486 2.978 -0.857
-2.495 -0.890 -1.681
-4.434 1.016 6.043
Ca Li Tc
1 1 2
direct
0.000 0.000 0.478
0.500 0.500 0.809
0.000 0.000 0.022
0.500 0.500 0.191
```

Results
- E_tot: -0.218 hartree per atom
- Total moment: 0.00 μB/cell
- Calculated formation energy: 0.22 eV/atom
- Mass density: 5.4 g/cm3
- Calculated volume: 18.6 Å³/atom
- Distance to the lowest polymorph of the same formula: 0 meV per atom
- SG: P4mm, No. 99

***

(5)
Below is crystalline KTlZnMo2 at its relaxed geometry, with properties calculated at the GGA-PBE level.

POSCAR file:
```
KTlZnMo2
1.0
4.953 0.000 0.000
0.000 5.601 0.000
0.000 0.000 4.953
K Zn Tl Mo
1 1 1 2
direct
0.000 0.500 0.000
0.000 0.000 0.000
0.500 0.500 0.500
0.000 0.000 0.500
0.500 0.000 0.000
```

Results
- E_tot: -0.136 hartree per atom
- Total moment: 5.81 μB/cell
- Calculated formation energy: 1.58 eV/atom
- Mass density: 6.1 g/cm3
- Calculated volume: 27.5 Å³/atom
- SG: P4/mmm, No. 123

***

(6)
Below is crystalline Ce2Pm3Tc2 at its relaxed geometry, with properties calculated at the GGA-PBE level.

POSCAR file:
```
Ce2Pm3Tc2
1.0
-0.329 -2.684 2.806
6.145 1.466 -0.572
-3.485 7.290 3.852
Ce Pm Tc
2 3 2
direct
0.633 0.459 0.807
0.367 0.541 0.193
0.500 0.000 0.000
0.203 0.819 0.585
0.797 0.181 0.415
0.009 0.805 0.214
0.991 0.195 0.786
```

Results
- E_tot: -0.248 hartree per atom
- Total moment: 0.00 μB/cell
- Calculated formation energy: -0.07 eV/atom
- Mass density: 7.8 g/cm3
- Calculated volume: 27.9 Å³/atom
- SG: P-1, No. 2

***

(7)
Below is crystalline PmThIr2 at its relaxed geometry, with properties calculated at the GGA-PBE level.

POSCAR file:
```
PmThIr2
1.0
5.022 0.000 0.000
2.511 4.349 0.000
2.511 1.450 4.101
Ir Th Pm
2 1 1
direct
0.250 0.250 0.250
0.750 0.750 0.750
0.000 0.000 0.000
0.500 0.500 0.500
```

Results
- E_tot: -0.300 hartree per atom
- Total moment: 0.00 μB/cell
- Calculated formation energy: -0.70 eV/atom
- Mass density: 14.1 g/cm3
- Calculated volume: 22.4 Å³/atom
- Distance to the lowest polymorph of the same formula: 147 meV per atom
- SG: Fm-3m, No. 225

***

(8)
Below is crystalline ScCrPb2 at its relaxed geometry, with properties calculated at the GGA-PBE level.

POSCAR file:
```
ScCrPb2
1.0
7.875 0.000 0.000
0.000 7.875 0.000
3.937 3.937 3.201
Pb Cr Sc
4 2 2
direct
0.647 0.125 0.250
0.103 0.625 0.250
0.375 0.353 0.750
0.875 0.897 0.750
0.000 0.000 0.000
0.750 0.250 0.500
0.500 0.500 0.000
0.250 0.750 0.500
```

Results
- E_tot: -0.204 hartree per atom
- Total moment: 6.60 μB/cell
- Calculated formation energy: 0.28 eV/atom
- Mass density: 8.6 g/cm3
- Calculated volume: 24.8 Å³/atom
- Distance to the lowest polymorph of the same formula: 180 meV per atom
- SG: I-42d, No. 122